# BaTlAgCl6 (GGA-PBE, relaxed)
# Calculated density ... 3.887 Mg/m³
# E_form (uncorrected) ... -1.22 eV per atom
# E_tot ... -0.239 Ry/atom
data_BaTlAgCl6
_space_group_name_H-M_alt 'P 1'
_space_group_IT_number 1
_space_group_name_Hall 'P 1'
_cell_length_a 6.6345
_cell_length_b 6.9654
_cell_length_c 7.0071
_cell_angle_alpha 119.08
_cell_angle_beta 90.16
_cell_angle_gamma 90.73
loop_
_atom_site_label
_atom_site_type_symbol
_atom_site_fract_x
_atom_site_fract_y
_atom_site_fract_z
Ba1 Ba 0.0000 0.0000 0.0000
Tl1 Tl 0.5000 0.6660 0.3352
Ag1 Ag 0.5000 0.3321 0.6714
Cl1 Cl 0.2681 0.3701 0.3631
Cl2 Cl 0.2686 0.6456 0.0202
Cl3 Cl 0.2765 0.9851 0.6329
Cl4 Cl 0.7245 0.3693 0.0194
Cl5 Cl 0.7280 0.6390 0.6326
Cl6 Cl 0.7341 0.9837 0.3588

# LaCd2TcSe (GGA-PBE, relaxed)
# D(E_F) ... 6.79 states/eV per cell
# Calculated density ... 5.943 Mg/m³
# Excess energy over the best structure of this formula in the dataset ... 0 meV/atom
# E_form (uncorrected) ... 0.67 eV per atom
# E_tot ... -0.254 Ry/atom
data_LaCd2TcSe
_space_group_name_H-M_alt 'P 4/m m m'
_space_group_IT_number 123
_space_group_name_Hall '-P 4 2'
_cell_length_a 5.1738
_cell_length_b 5.1738
_cell_length_c 5.6437
_cell_angle_alpha 90.00
_cell_angle_beta 90.00
_cell_angle_gamma 90.00
loop_
_atom_site_label
_atom_site_type_symbol
_atom_site_fract_x
_atom_site_fract_y
_atom_site_fract_z
La1 La 0.0000 0.0000 0.0000
Cd1 Cd 0.0000 0.5000 0.5000
Tc1 Tc 0.5000 0.5000 0.0000
Se1 Se 0.0000 0.0000 0.5000

# HoEr2Si6 (GGA-PBE, relaxed)
# D(E_F) ... 3.88 states/eV per cell
# Calculated density ... 6.566 Mg/m³
# E_form (uncorrected) ... -0.50 eV per atom
# E_tot ... -0.414 Ry/atom
data_HoEr2Si6
_space_group_name_H-M_alt 'P 6/m m m'
_space_group_IT_number 191
_space_group_name_Hall '-P 6 2'
_cell_length_a 7.0986
_cell_length_b 7.0986
_cell_length_c 3.8712
_cell_angle_alpha 90.00
_cell_angle_beta 90.00
_cell_angle_gamma 120.00
loop_
_atom_site_label
_atom_site_type_symbol
_atom_site_fract_x
_atom_site_fract_y
_atom_site_fract_z
Ho1 Ho 0.0000 0.0000 0.0000
Er1 Er 0.3333 0.6667 0.0000
Si1 Si 0.0000 0.3336 0.5000

# Ac3DyY3S8 (GGA-PBE, relaxed)
# D(E_F) ... 21.78 states/eV per cell
# Calculated density ... 5.871 Mg/m³
# E_form (uncorrected) ... -2.04 eV per atom
# E_tot ... -0.490 Ry/atom
data_Ac3DyY3S8
_space_group_name_H-M_alt 'R -3 m'
_space_group_IT_number 166
_space_group_name_Hall '-R 3 2"'
_cell_length_a 8.0425
_cell_length_b 8.0425
_cell_length_c 20.7025
_cell_angle_alpha 90.00
_cell_angle_beta 90.00
_cell_angle_gamma 120.00
loop_
_atom_site_label
_atom_site_type_symbol
_atom_site_fract_x
_atom_site_fract_y
_atom_site_fract_z
Ac1 Ac 0.0000 0.5000 0.0000
Dy1 Dy 0.0000 0.0000 0.5000
Y1 Y 0.0000 0.5000 0.5000
S1 S 0.0000 0.0000 0.2403
S2 S 0.0011 0.5005 0.7590

# Tc2NiRh (GGA-PBE, relaxed)
# D(E_F) ... 5.66 states/eV per cell
# Calculated density ... 10.798 Mg/m³
# Excess energy over the best structure of this formula in the dataset ... 199 meV/atom
# E_tot ... -0.614 Ry/atom
data_Tc2NiRh
_space_group_name_H-M_alt 'P 4 m m'
_space_group_IT_number 99
_space_group_name_Hall 'P 4 -2'
_cell_length_a 3.1326
_cell_length_b 3.1326
_cell_length_c 5.6040
_cell_angle_alpha 90.00
_cell_angle_beta 90.00
_cell_angle_gamma 90.00
loop_
_atom_site_label
_atom_site_type_symbol
_atom_site_fract_x
_atom_site_fract_y
_atom_site_fract_z
Tc1 Tc 0.0000 0.0000 0.0000
Tc2 Tc 0.5000 0.5000 0.2517
Ni1 Ni 0.0000 0.0000 0.4782
Rh1 Rh 0.5000 0.5000 0.7134

# Nd2Mg3Cd (GGA-PBE, relaxed)
# D(E_F) ... 4.22 states/eV per cell
# Calculated density ... 4.889 Mg/m³
# Excess energy over the best structure of this formula in the dataset ... 6 meV/atom
# E_tot ... -0.199 Ry/atom
data_Nd2Mg3Cd
_space_group_name_H-M_alt 'P m m 2'
_space_group_IT_number 25
_space_group_name_Hall 'P 2 -2'
_cell_length_a 3.3884
_cell_length_b 5.2496
_cell_length_c 9.0480
_cell_angle_alpha 90.00
_cell_angle_beta 90.00
_cell_angle_gamma 90.00
loop_
_atom_site_label
_atom_site_type_symbol
_atom_site_fract_x
_atom_site_fract_y
_atom_site_fract_z
Nd1 Nd 0.0000 0.0000 0.0000
Nd2 Nd 0.0000 0.5000 0.4888
Mg1 Mg 0.5000 0.0000 0.6609
Mg2 Mg 0.5000 0.5000 0.1603
Mg3 Mg 0.5000 0.5000 0.8263
Cd1 Cd 0.5000 0.0000 0.3294

# LaReW (GGA-PBE, relaxed)
# D(E_F) ... 17.99 states/eV per cell
# Calculated density ... 13.144 Mg/m³
# Excess energy over the best structure of this formula in the dataset ... 1913 meV/atom
# E_tot ... -0.587 Ry/atom
data_LaReW
_space_group_name_H-M_alt 'F -4 3 m'
_space_group_IT_number 216
_space_group_name_Hall 'F -4 2 3'
_cell_length_a 6.3595
_cell_length_b 6.3595
_cell_length_c 6.3595
_cell_angle_alpha 90.00
_cell_angle_beta 90.00
_cell_angle_gamma 90.00
loop_
_atom_site_label
_atom_site_type_symbol
_atom_site_fract_x
_atom_site_fract_y
_atom_site_fract_z
La1 La 0.0000 0.0000 0.0000
Re1 Re 0.2500 0.2500 0.2500
W1 W 0.2500 0.2500 0.7500

# PrY2Er9 (GGA-PBE, relaxed)
# D(E_F) ... 16.94 states/eV per cell
# Calculated density ... 8.071 Mg/m³
# Excess energy over the best structure of this formula in the dataset ... 0 meV/atom
# E_tot ... -0.358 Ry/atom
data_PrY2Er9
_space_group_name_H-M_alt 'P 4/m m m'
_space_group_IT_number 123
_space_group_name_Hall '-P 4 2'
_cell_length_a 5.0019
_cell_length_b 5.0019
_cell_length_c 15.0000
_cell_angle_alpha 90.00
_cell_angle_beta 90.00
_cell_angle_gamma 90.00
loop_
_atom_site_label
_atom_site_type_symbol
_atom_site_fract_x
_atom_site_fract_y
_atom_site_fract_z
Pr1 Pr 0.0000 0.0000 0.0000
Y1 Y 0.0000 0.0000 0.3341
Er1 Er 0.0000 0.5000 0.1685
Er2 Er 0.0000 0.5000 0.5000
Er3 Er 0.5000 0.5000 0.0000
Er4 Er 0.5000 0.5000 0.3348